The following is a DFT calculation (GGA+U) of a relaxed Tb2PaCrO8 crystal.

Unit cell a=5.0037 b=5.0037 c=6.7258 alpha=90.00 beta=90.00 gamma=90.97
Closest atoms and distances in Å follow each position.
Sites, in units of the cell vectors:
Tb  0.0000  0.0000  0.2427  6 O 2.21-2.37
Tb  0.0000  0.0000  0.7573  6 O 2.21-2.37
Pa  0.5000  0.5000  0.5000  6 O 2.13-2.23
Cr  0.5000  0.5000  0.0000  2 O 1.79
O  0.1958  0.1958  0.5000  1 Pa 2.13, 2 Tb 2.21
O  0.2451  0.2451  0.0000  1 Cr 1.79
O  0.3187  0.6813  0.2295  1 Cr 2.01, 1 Pa 2.23
O  0.3187  0.6813  0.7705  1 Cr 2.01, 1 Pa 2.23
O  0.6813  0.3187  0.2295  1 Cr 2.01, 1 Pa 2.23
O  0.6813  0.3187  0.7705  1 Cr 2.01, 1 Pa 2.23
O  0.7549  0.7549  0.0000  1 Cr 1.79
O  0.8042  0.8042  0.5000  1 Pa 2.13, 2 Tb 2.21

Values from the calculation:
* total energy: -99.80 eV/f.u.
* calculated density: 7.19 g/cm3